HoMgCr2O6 | meta-GGA SCAN | single point on PBEsol structure

Unit cell a=7.3603 b=5.3320 c=5.0621 alpha=90.00 beta=90.00 gamma=90.00
With the nearest neighbours (Å) after each atom.
Atoms (fractional coordinates):
Ho (0.0000, 0.1798, 0.0000)  6 O 2.19-2.43
Ho (0.5000, 0.8202, 0.5000)  6 O 2.19-2.43
Mg (0.0000, 0.6883, 0.5356)  4 O 2.05-2.15
Mg (0.5000, 0.3117, 0.0356)  4 O 2.05-2.15
Cr (0.2504, 0.2568, 0.5170)  6 O 1.90-1.98
Cr (0.2496, 0.7432, 0.0170)  6 O 1.90-1.98
Cr (0.7496, 0.2568, 0.5170)  6 O 1.90-1.98
Cr (0.7504, 0.7432, 0.0170)  6 O 1.90-1.98
O (0.0000, 0.3032, 0.4120)  2 Cr 1.93, 1 Mg 2.15
O (0.0000, 0.7820, 0.1421)  2 Cr 1.95, 1 Mg 2.05
O (0.1900, 0.4524, 0.8187)  2 Cr 1.90
O (0.1919, 0.9406, 0.7019)  2 Cr 1.96-1.98, 1 Mg 2.12
O (0.3081, 0.0594, 0.2019)  2 Cr 1.96-1.98, 1 Mg 2.12
O (0.3100, 0.5476, 0.3187)  2 Cr 1.90
O (0.5000, 0.2180, 0.6421)  2 Cr 1.95, 1 Mg 2.05
O (0.5000, 0.6968, 0.9120)  2 Cr 1.93, 1 Mg 2.15
O (0.6900, 0.5476, 0.3187)  2 Cr 1.90
O (0.6919, 0.0594, 0.2019)  2 Cr 1.96-1.98, 1 Mg 2.12
O (0.8081, 0.9406, 0.7019)  2 Cr 1.96-1.98, 1 Mg 2.12
O (0.8100, 0.4524, 0.8187)  2 Cr 1.90

Results
**ΔE_f (raw)**: -2906 meV per atom
**N(E_F)**: 0.49 states/eV/atom

CrInI3 | meta-GGA SCAN | single point on PBEsol structure

Unit cell a=5.8118 b=5.8118 c=5.8118 alpha=90.00 beta=90.00 gamma=90.00
With the nearest neighbours (Å) after each atom.
Atoms (fractional coordinates):
Cr (0.0000, 0.0000, 0.0000)  12 I 4.11
In (0.5000, 0.5000, 0.5000)  6 I 2.91
I (0.0000, 0.5000, 0.5000)  2 In 2.91
I (0.5000, 0.0000, 0.5000)  2 In 2.91
I (0.5000, 0.5000, 0.0000)  2 In 2.91

Results
**ΔE_f (raw)**: 130 meV per atom
**N(E_F)**: 1.45 states/eV/atom

CrInIO2 | meta-GGA SCAN | single point on PBEsol structure

Unit cell a=3.9782 b=3.9782 c=5.3428 alpha=90.00 beta=90.00 gamma=90.00
With the nearest neighbours (Å) after each atom.
Atoms (fractional coordinates):
Cr (0.0000, 0.0000, 0.0000)  4 O 1.99
In (0.5000, 0.5000, 0.5000)  4 I 2.81
I (0.0000, 0.0000, 0.5000)  2 Cr 2.67, 4 In 2.81
O (0.0000, 0.5000, 0.0000)  2 Cr 1.99
O (0.5000, 0.0000, 0.0000)  2 Cr 1.99

Results
**ΔE_f (raw)**: -648 meV per atom
**Energy relative to the lowest polymorph listed for this composition**: 0.000 eV/atom
**N(E_F)**: 0.53 states/eV/atom

CrInIO2 | meta-GGA SCAN | single point on PBEsol structure

Unit cell a=4.0580 b=4.0580 c=6.2314 alpha=90.00 beta=90.00 gamma=90.00
With the nearest neighbours (Å) after each atom.
Atoms (fractional coordinates):
Cr (0.0000, 0.0000, 0.0000)  4 I 2.87
In (0.5000, 0.5000, 0.5000)  4 O 2.03
I (0.5000, 0.5000, 0.0000)  4 Cr 2.87, 2 In 3.12
O (0.0000, 0.5000, 0.5000)  2 In 2.03
O (0.5000, 0.0000, 0.5000)  2 In 2.03

Results
**ΔE_f (raw)**: -364 meV per atom
**Energy relative to the lowest polymorph listed for this composition**: 0.284 eV/atom
**N(E_F)**: 0.43 states/eV/atom

CrIr3I | meta-GGA SCAN | single point on PBEsol structure

Unit cell a=4.5141 b=4.5141 c=4.5141 alpha=90.00 beta=90.00 gamma=90.00
With the nearest neighbours (Å) after each atom.
Atoms (fractional coordinates):
Cr (0.0000, 0.0000, 0.0000)  6 Ir 2.26
Ir (0.0000, 0.0000, 0.5000)  2 Cr 2.26
Ir (0.0000, 0.5000, 0.0000)  2 Cr 2.26
Ir (0.5000, 0.0000, 0.0000)  2 Cr 2.26
I (0.5000, 0.5000, 0.5000)  12 Ir 3.19

Results
**ΔE_f (raw)**: 1675 meV per atom
**N(E_F)**: 1.46 states/eV/atom

Cr3IrI | meta-GGA SCAN | single point on PBEsol structure

Unit cell a=4.7143 b=4.7143 c=4.7143 alpha=90.00 beta=90.00 gamma=90.00
With the nearest neighbours (Å) after each atom.
Atoms (fractional coordinates):
Cr (0.0000, 0.0000, 0.5000)  2 I 2.36
Cr (0.0000, 0.5000, 0.0000)  2 I 2.36
Cr (0.5000, 0.0000, 0.0000)  2 I 2.36
Ir (0.5000, 0.5000, 0.5000)  12 Cr 3.33
I (0.0000, 0.0000, 0.0000)  6 Cr 2.36

Results
**ΔE_f (raw)**: 1858 meV per atom
**N(E_F)**: 0.89 states/eV/atom